Entry 1:
Here is La3Sn4 after structural relaxation from Alexandria via LeMat-Bulk. Energies are from GGA-PBEsol.

Unit cell a=4.489 b=11.815 c=15.758 alpha=90.00 beta=90.00 gamma=90.00
Space group Cmcm (No. 63)
Inequivalent atoms, fractional coordinates:
1 La 0.000 0.042 0.250 (multiplicity 4)
2 La 0.000 0.327 0.098 (multiplicity 8)
3 Sn 0.000 0.000 0.000 (multiplicity 4)
4 Sn 0.000 0.228 0.750 (multiplicity 4)
5 Sn 0.000 0.385 0.607 (multiplicity 8)

Output
For the energy relative to the elements, the calculation gives -0.794 eV per atom. The calculated density comes out at 7.09 g cm⁻³.

=====

Entry 2:
Here is Na2AlZnF7 after structural relaxation from Alexandria via LeMat-Bulk. Energies are from GGA-PBEsol.

Unit cell a=7.078 b=10.138 c=7.379 alpha=90.00 beta=90.00 gamma=90.00
Space group Imma (No. 74)
Inequivalent atoms, fractional coordinates:
1 Na 0.000 0.000 0.000 (multiplicity 4)
2 Na 0.250 0.250 0.250 (multiplicity 4)
3 Al 0.000 0.000 0.500 (multiplicity 4)
4 Zn 0.250 0.250 0.750 (multiplicity 4)
5 F 0.000 0.083 0.278 (multiplicity 8)
6 F 0.000 0.250 0.875 (multiplicity 4)
7 F 0.187 0.112 0.564 (multiplicity 16)

Output
As for the energy relative to the elements, uncorrected: -2.974 eV/atom. The calculated density comes out at 3.40 g cm⁻³.

=====

Entry 3:
Here is KSiPt after structural relaxation from Alexandria via LeMat-Bulk. Energies are from GGA-PBEsol.

Unit cell a=2.893 b=3.611 c=11.983 alpha=90.00 beta=90.00 gamma=90.00
Space group Imm2 (No. 44)
Inequivalent atoms, fractional coordinates:
1 K 0.000 0.000 0.000 (multiplicity 2)
2 Si 0.000 0.000 0.288 (multiplicity 2)
3 Pt 0.000 0.000 0.716 (multiplicity 2)

Output
As for the energy relative to the elements, uncorrected: -0.270 eV/atom. The calculated density comes out at 6.96 g cm⁻³.

=====

Entry 4:
Here is LaFe2W after structural relaxation from Alexandria via LeMat-Bulk. Energies are from GGA-PBEsol.

Unit cell a=6.273 b=6.273 c=6.273 alpha=90.00 beta=90.00 gamma=90.00
Space group F-43m (No. 216)
Inequivalent atoms, fractional coordinates:
1 La 0.000 0.000 0.000 (multiplicity 4)
2 Fe 0.000 0.000 0.500 (multiplicity 4)
3 Fe 0.250 0.250 0.750 (multiplicity 4)
4 W 0.250 0.250 0.250 (multiplicity 4)

Output
For the energy relative to the elements, the calculation gives 0.707 eV per atom. The calculated density comes out at 11.69 g cm⁻³.

=====

Entry 5:
Here is Ta2SbI after structural relaxation from Alexandria via LeMat-Bulk. Energies are from GGA-PBEsol.

Unit cell a=7.607 b=7.607 c=6.291 alpha=90.00 beta=90.00 gamma=90.00
Space group I-42d (No. 122)
Inequivalent atoms, fractional coordinates:
1 Ta 0.249 0.250 0.125 (multiplicity 8)
2 Sb 0.000 0.000 0.000 (multiplicity 4)
3 I 0.000 0.000 0.500 (multiplicity 4)

Output
As for the energy relative to the elements, uncorrected: 1.163 eV/atom. The calculated density comes out at 11.14 g cm⁻³.

=====

Entry 6:
Here is KNa3WO5 after structural relaxation from Alexandria via LeMat-Bulk. Energies are from GGA-PBEsol.

Unit cell a=8.996 b=7.429 c=9.077 alpha=90.00 beta=104.11 gamma=90.00
Space group C2/m (No. 12)
Inequivalent atoms, fractional coordinates:
1 K 0.000 0.249 0.000 (multiplicity 4)
2 Na 0.097 0.245 0.387 (multiplicity 8)
3 Na 0.189 0.500 0.774 (multiplicity 4)
4 W 0.192 0.000 0.759 (multiplicity 4)
5 O 0.021 0.000 0.239 (multiplicity 4)
6 O 0.097 0.500 0.247 (multiplicity 4)
7 O 0.164 0.218 0.654 (multiplicity 8)
8 O 0.246 0.000 0.967 (multiplicity 4)

Output
As for the energy relative to the elements, uncorrected: -1.969 eV/atom. The calculated density comes out at 4.20 g cm⁻³.

=====

no.,calculated volume (Å³/atom),M_tot (μB per formula unit)
1,29.85,0.0
2,12.03,0.0
3,20.86,0.0
4,15.43,2.8
5,22.76,0.0
6,14.71,0.0